Record 1
A geometry-optimized Pu2MnReSi2 structure. Source: Alexandria via LeMat-Bulk, functional PBE.

a = 5.5074 Å, b = 14.7517 Å, c = 5.4340 Å
α = 90.00°, β = 90.00°, γ = 90.00°
With the nearest neighbours (Å) after each atom.
Space group Ibam (No. 72)
Inequivalent atoms, fractional coordinates:
Pu (0.2421, 0.1800, 0.0000) x8  5 Si 2.93-3.16, 2 Re 3.27
Mn (0.0000, 0.5000, 0.2500) x4  4 Si 2.45, 2 Mn 2.72
Re (0.0000, 0.0000, 0.2500) x4  4 Si 2.52, 2 Re 2.72, 2 Mn 2.75
Si (0.2383, 0.3943, 0.0000) x8  2 Mn 2.45, 2 Re 2.52

Values from the calculation:
uncorrected energy	-251.71	eV/cell
formation energy (no corrections)	-0.300	eV per atom
total moment	55.33	Bohr magnetons per cell
calculated volume	441.48	Å³ per cell

Record 2
A geometry-optimized PuMnReSi2 structure. Source: Alexandria via LeMat-Bulk, functional PBE.

a = 3.9511 Å, b = 3.9511 Å, c = 10.5983 Å
α = 90.00°, β = 90.00°, γ = 90.00°
With the nearest neighbours (Å) after each atom.
Space group I-4m2 (No. 119)
Inequivalent atoms, fractional coordinates:
Pu (0.0000, 0.0000, 0.0000) x2  8 Si 3.05, 4 Mn 3.31, 4 Re 3.31
Mn (0.0000, 0.5000, 0.2500) x2  4 Si 2.44
Re (0.0000, 0.5000, 0.7500) x2  4 Si 2.44
Si (0.0000, 0.0000, 0.3850) x4  1 Si 2.44, 2 Mn 2.44, 2 Re 2.44

Values from the calculation:
uncorrected energy	-97.57	eV/cell
formation energy (no corrections)	-0.398	eV per atom
total moment	15.46	Bohr magnetons per cell
calculated volume	165.46	Å³ per cell

Record 3
A geometry-optimized TmPuMnRe structure. Source: Alexandria via LeMat-Bulk, functional PBE.

a = 6.7805 Å, b = 6.7805 Å, c = 6.7805 Å
α = 90.00°, β = 90.00°, γ = 90.00°
With the nearest neighbours (Å) after each atom.
Space group F-43m (No. 216)
Inequivalent atoms, fractional coordinates:
Tm (0.0000, 0.0000, 0.0000) x4  4 Mn 2.94, 4 Re 2.94
Pu (0.0000, 0.0000, 0.5000) x4  4 Mn 2.94, 4 Re 2.94
Mn (0.2500, 0.2500, 0.2500) x4  4 Tm 2.94, 4 Pu 2.94
Re (0.2500, 0.2500, 0.7500) x4  4 Tm 2.94, 4 Pu 2.94

Values from the calculation:
uncorrected energy	-159.53	eV/cell
total moment	4.82	Bohr magnetons per cell
energy relative to the elements	135	meV per atom
calculated volume	311.74	Å³ per cell

Record 4
A geometry-optimized PuUMnRe structure. Source: Alexandria via LeMat-Bulk, functional PBE.

a = 6.4624 Å, b = 6.4624 Å, c = 6.4624 Å
α = 90.00°, β = 90.00°, γ = 90.00°
With the nearest neighbours (Å) after each atom.
Space group F-43m (No. 216)
Inequivalent atoms, fractional coordinates:
Pu (0.0000, 0.0000, 0.0000) x4  4 Mn 2.80, 4 U 2.80
U (0.2500, 0.2500, 0.2500) x4  4 Re 2.80, 4 Pu 2.80
Mn (0.2500, 0.2500, 0.7500) x4  4 Re 2.80, 4 Pu 2.80
Re (0.0000, 0.0000, 0.5000) x4  4 Mn 2.80, 4 U 2.80

Values from the calculation:
uncorrected energy	-186.76	eV/cell
total moment	24.10	Bohr magnetons per cell
energy relative to the elements	137	meV per atom
calculated volume	269.88	Å³ per cell

Record 5
A geometry-optimized PuMnVRe structure. Source: Alexandria via LeMat-Bulk, functional PBE.

a = 6.3473 Å, b = 6.3473 Å, c = 6.3473 Å
α = 90.00°, β = 90.00°, γ = 90.00°
With the nearest neighbours (Å) after each atom.
Space group F-43m (No. 216)
Inequivalent atoms, fractional coordinates:
Pu (0.0000, 0.0000, 0.0000) x4  4 Mn 2.75, 4 Re 2.75
Mn (0.2500, 0.2500, 0.7500) x4  4 Pu 2.75, 4 V 2.75
V (0.0000, 0.0000, 0.5000) x4  4 Mn 2.75, 4 Re 2.75
Re (0.2500, 0.2500, 0.2500) x4  4 Pu 2.75, 4 V 2.75

Values from the calculation:
uncorrected energy	-177.59	eV/cell
total moment	12.01	Bohr magnetons per cell
energy relative to the elements	167	meV per atom
calculated volume	255.73	Å³ per cell

Record 6
A geometry-optimized Pu4Mn2Rh structure. Source: Alexandria via LeMat-Bulk, functional PBE.

a = 8.3305 Å, b = 8.3305 Å, c = 8.3566 Å
α = 90.00°, β = 90.00°, γ = 90.00°
With the nearest neighbours (Å) after each atom.
Space group I-42d (No. 122)
Inequivalent atoms, fractional coordinates:
Pu (0.0702, 0.1758, 0.3077) x16  4 Mn 2.76-3.02, 2 Rh 2.81-3.02
Mn (0.1260, 0.2500, 0.6250) x8  8 Pu 2.76-3.02
Rh (0.0000, 0.0000, 0.0000) x4  8 Pu 2.81-3.02

Values from the calculation:
uncorrected energy	-331.98	eV/cell
total moment	64.25	Bohr magnetons per cell
energy relative to the elements	3	meV per atom
calculated volume	579.93	Å³ per cell

What is the calculated volume in the fifth record?
255.73 Å³ per cell